## TmLu2Be (PBE)

Data for a geometry-optimized TmLu2Be structure.

Values from the calculation:
The space group is No. 123. The crystal system is tetragonal.

Cell lengths 3.386, 3.386, 8.426 Å; angles 90.00, 90.00, 90.00 degrees
Element x y z (fractional)
Tm 0.000 0.000 0.000
Lu 0.500 0.500 0.307
Lu 0.500 0.500 0.693
Be 0.000 0.000 0.500

---

## TmLu2Be (PBE)

Data for a geometry-optimized TmLu2Be structure.

Values from the calculation:
The space group is No. 166. The crystal system is trigonal.

Cell lengths 11.332, 11.332, 11.332 Å; angles 17.02, 17.02, 17.02 degrees
Element x y z (fractional)
Tm 0.000 0.000 0.000
Lu 0.416 0.416 0.416
Lu 0.584 0.584 0.584
Be 0.500 0.500 0.500

---

## TmLuBe4 (PBE)

Data for a geometry-optimized TmLuBe4 structure.

Values from the calculation:
The space group is No. 216. The crystal system is cubic.

Cell lengths 4.965, 4.965, 4.965 Å; angles 60.00, 60.00, 60.00 degrees
Element x y z (fractional)
Tm 0.000 0.000 0.000
Lu 0.750 0.750 0.750
Be 0.375 0.375 0.375
Be 0.375 0.375 0.875
Be 0.375 0.875 0.375
Be 0.875 0.375 0.375

---

## YLuBe2 (PBE)

Data for a geometry-optimized YLuBe2 structure.

Values from the calculation:
The space group is No. 123. The crystal system is tetragonal.

Cell lengths 3.377, 3.377, 6.753 Å; angles 90.00, 90.00, 90.00 degrees
Element x y z (fractional)
Y 0.000 0.000 0.000
Lu 0.000 0.000 0.500
Be 0.500 0.500 0.268
Be 0.500 0.500 0.732

---

## YLuBe2 (PBE)

Data for a geometry-optimized YLuBe2 structure.

Values from the calculation:
The space group is No. 225. The crystal system is cubic.

Cell lengths 4.777, 4.777, 4.777 Å; angles 60.00, 60.00, 60.00 degrees
Element x y z (fractional)
Y 0.000 0.000 0.000
Lu 0.500 0.500 0.500
Be 0.250 0.250 0.250
Be 0.750 0.750 0.750

---

## LuBeZn (PBE)

Data for a geometry-optimized LuBeZn structure.

Values from the calculation:
The space group is No. 187. The crystal system is hexagonal.

Cell lengths 4.187, 4.187, 3.414 Å; angles 90.00, 90.00, 120.00 degrees
Element x y z (fractional)
Lu 0.000 0.000 0.000
Be 0.667 0.333 0.500
Zn 0.333 0.667 0.500

---

## LuZrBeZn (PBE)

Data for a geometry-optimized LuZrBeZn structure.

Values from the calculation:
The space group is No. 216. The crystal system is cubic.

Cell lengths 4.714, 4.714, 4.714 Å; angles 60.00, 60.00, 60.00 degrees
Element x y z (fractional)
Lu 0.000 0.000 0.000
Zr 0.500 0.500 0.500
Be 0.750 0.750 0.750
Zn 0.250 0.250 0.250

---

## LuZrBe2 (PBE)

Data for a geometry-optimized LuZrBe2 structure.

Values from the calculation:
The space group is No. 225. The crystal system is cubic.

Cell lengths 4.579, 4.579, 4.579 Å; angles 60.00, 60.00, 60.00 degrees
Element x y z (fractional)
Lu 0.000 0.000 0.000
Zr 0.500 0.500 0.500
Be 0.250 0.250 0.250
Be 0.750 0.750 0.750

---

## LuZrBe2 (PBE)

Data for a geometry-optimized LuZrBe2 structure.

Values from the calculation:
The space group is No. 123. The crystal system is tetragonal.

Cell lengths 3.231, 3.231, 6.506 Å; angles 90.00, 90.00, 90.00 degrees
Element x y z (fractional)
Lu 0.000 0.000 0.000
Zr 0.000 0.000 0.500
Be 0.500 0.500 0.268
Be 0.500 0.500 0.732

---

## LuZrBe4 (PBE)

Data for a geometry-optimized LuZrBe4 structure.

Values from the calculation:
The space group is No. 216. The crystal system is cubic.

Cell lengths 4.864, 4.864, 4.864 Å; angles 60.00, 60.00, 60.00 degrees
Element x y z (fractional)
Lu 0.000 0.000 0.000
Zr 0.250 0.250 0.250
Be 0.135 0.622 0.622
Be 0.622 0.135 0.622
Be 0.622 0.622 0.135
Be 0.622 0.622 0.622

---

## Mg3Be (PBE)

Data for a geometry-optimized Mg3Be structure.

Values from the calculation:
The space group is No. 221. The crystal system is cubic.

Cell lengths 4.216, 4.216, 4.216 Å; angles 90.00, 90.00, 90.00 degrees
Element x y z (fractional)
Mg 0.000 0.000 0.500
Mg 0.000 0.500 0.000
Mg 0.500 0.000 0.000
Be 0.500 0.500 0.500

---

## MgBe2 (PBE)

Data for a geometry-optimized MgBe2 structure.

Values from the calculation:
The space group is No. 194. The crystal system is hexagonal.

Cell lengths 4.198, 4.198, 4.930 Å; angles 90.00, 90.00, 120.00 degrees
Element x y z (fractional)
Mg 0.333 0.667 0.250
Mg 0.667 0.333 0.750
Be 0.000 0.000 0.000
Be 0.000 0.000 0.500
Be 0.333 0.667 0.750
Be 0.667 0.333 0.250

---

Formation enthalpy at 0 K readings, ordered: 50 673 46 69 68 -173 -97 18 -20 -1 284 509 meV per atom